NiAsSe2: relaxed, PBE.

Computed properties:
Crystal system: orthorhombic
Raw formation energy (eV per atom): 0.11

Geometry as POSCAR:
```
NiAsSe2
1.0
6.512 0.076 0.085
4.211 4.968 -0.085
-4.890 -3.524 2.467
As Ni Se
1 1 2
Cartesian
4.399 2.069 0.000 As
2.222 1.926 1.191 Ni
0.797 0.375 0.000 Se
3.777 -0.329 1.276 Se
```

---

Zn22Ag: relaxed, PBE.

Computed properties:
Crystal system: cubic

Geometry as POSCAR:
```
Zn22Ag
1.0
-9.183 1.496 -3.772
-1.574 -0.872 -9.877
-5.282 -7.752 -3.576
Zn Ag
44 2
Cartesian
-7.510 -0.552 -5.154 Zn
-11.797 -5.202 -6.528 Zn
-6.121 -6.969 -11.082 Zn
-5.215 -3.730 -9.045 Zn
-6.616 -1.753 -7.565 Zn
-5.360 -6.547 -6.305 Zn
-13.433 -7.157 -13.966 Zn
-13.407 -4.584 -12.767 Zn
-10.999 -4.977 -11.777 Zn
-8.529 -6.577 -12.071 Zn
-4.592 0.748 -1.886 Zn
-4.628 -1.923 -2.857 Zn
-2.606 0.029 -3.259 Zn
-2.641 -3.876 -1.788 Zn
-7.356 -5.926 -4.704 Zn
-8.895 -2.585 -6.092 Zn
-3.428 -4.312 -6.727 Zn
-5.378 0.312 -6.824 Zn
-9.423 -5.375 -9.660 Zn
-12.992 -6.912 -11.196 Zn
-10.824 -3.398 -8.180 Zn
-8.982 -5.130 -6.890 Zn
-11.411 -5.205 -14.368 Zn
-9.656 -3.007 -10.869 Zn
-9.918 -0.159 -6.143 Zn
-0.787 -0.436 -4.939 Zn
-3.047 -0.216 -6.029 Zn
-2.632 -2.544 -4.458 Zn
-12.209 -5.431 -9.118 Zn
-4.242 -1.926 -10.697 Zn
-10.858 -7.577 -12.908 Zn
-9.191 -1.334 -8.623 Zn
-10.679 -0.581 -10.920 Zn
-8.684 -1.202 -12.521 Zn
-3.830 -1.697 -8.107 Zn
-6.383 -4.122 -6.356 Zn
-8.020 -3.564 -8.612 Zn
-7.057 -1.998 -10.335 Zn
-5.041 -2.152 -5.448 Zn
-5.181 0.448 -4.317 Zn
-6.848 -5.794 -8.602 Zn
0.000 0.000 0.000 Zn
-7.233 -3.128 -3.674 Zn
-7.144 -4.544 -11.133 Zn
-11.393 -2.361 -13.284 Ag
-4.646 -4.767 -3.941 Ag
```

---

TlGaSnAu: relaxed, PBE.

Computed properties:
Energy above the most stable polymorph in this dataset (meV per atom): 0.0
Crystal system: orthorhombic

Geometry as POSCAR:
```
TlGaSnAu
1.0
3.571 0.039 0.005
0.039 3.571 -0.005
-0.008 0.008 7.530
Ga Tl Sn Au
1 1 1 1
Cartesian
0.546 3.064 5.322 Ga
2.313 1.297 7.397 Tl
2.319 1.291 3.403 Sn
0.556 3.054 1.862 Au
```

---

In order of appearance, VASP energy = -4.238; -1.278; -3.143 eV per atom.
In order of appearance, N(E_F) = 0.715; 0.309; 0.236 states/eV per atom.